(1)
Nb5Sb4 GGA-PBE relaxed; Fermi-level density of states = 4.1 states/eV/cell; E = -7.752 eV per atom; symmetry = No. 87; total magnetic moment = 0.00 Bohr magnetons per cell
1.0
-5.202 5.202 1.786
5.202 -5.202 1.786
5.202 5.202 -1.786
Nb Sb
5 4
Direct
0.000 0.000 0.000
0.311 0.629 0.940
0.371 0.311 0.683
0.629 0.689 0.317
0.689 0.371 0.060
0.053 0.706 0.759
0.294 0.053 0.346
0.706 0.947 0.654
0.947 0.294 0.241

=====

(2)
ScNb2Sb GGA-PBE relaxed; Fermi-level density of states = 7.7 states/eV/cell; E = -7.267 eV per atom; symmetry = No. 122; total magnetic moment = 0.00 Bohr magnetons per cell
1.0
-3.935 3.935 2.836
3.935 -3.935 2.836
3.935 3.935 -2.836
Sc Nb Sb
2 4 2
Direct
0.000 0.000 0.000
0.750 0.250 0.500
0.150 0.125 0.525
0.375 0.850 0.975
0.600 0.625 0.475
0.875 0.400 0.025
0.250 0.750 0.500
0.500 0.500 0.000

=====

(3)
ScNbSb3 GGA-PBE relaxed; Fermi-level density of states = 4.0 states/eV/cell; E = -5.390 eV per atom; symmetry = No. 221; total magnetic moment = 0.00 Bohr magnetons per cell
1.0
5.344 0.000 0.000
0.000 5.344 0.000
0.000 0.000 5.344
Sc Nb Sb
1 1 3
Direct
0.000 0.000 0.000
0.500 0.500 0.500
0.000 0.500 0.500
0.500 0.000 0.500
0.500 0.500 0.000

=====

(4)
Sc2NbSb2 GGA-PBE relaxed; Fermi-level density of states = 11.1 states/eV/cell; E = -6.752 eV per atom; symmetry = No. 127; total magnetic moment = 0.00 Bohr magnetons per cell
1.0
7.403 0.000 0.000
0.000 7.403 0.000
0.000 0.000 4.024
Sc Nb Sb
4 2 4
Direct
0.163 0.337 0.000
0.337 0.837 0.000
0.663 0.163 0.000
0.837 0.663 0.000
0.000 0.000 0.500
0.500 0.500 0.500
0.144 0.644 0.500
0.356 0.144 0.500
0.644 0.856 0.500
0.856 0.356 0.500

=====

(5)
Sc2NbSb GGA-PBE relaxed; Fermi-level density of states = 13.6 states/eV/cell; E = -6.524 eV per atom; symmetry = No. 122; total magnetic moment = 0.00 Bohr magnetons per cell
1.0
-2.101 2.101 10.271
2.101 -2.101 10.271
2.101 2.101 -10.271
Sc Nb Sb
4 2 2
Direct
0.124 0.625 0.999
0.375 0.374 0.499
0.626 0.125 0.001
0.875 0.876 0.501
0.000 0.000 0.000
0.750 0.250 0.500
0.250 0.750 0.500
0.500 0.500 0.000

=====

(6)
Sc2Nb2Sb GGA-PBE relaxed; Fermi-level density of states = 10.4 states/eV/cell; E = -7.461 eV per atom; symmetry = No. 127; total magnetic moment = 0.00 Bohr magnetons per cell
1.0
7.206 0.000 0.000
0.000 7.206 0.000
0.000 0.000 4.196
Sc Nb Sb
4 4 2
Direct
0.167 0.333 0.000
0.333 0.833 0.000
0.667 0.167 0.000
0.833 0.667 0.000
0.129 0.629 0.500
0.371 0.129 0.500
0.629 0.871 0.500
0.871 0.371 0.500
0.000 0.000 0.500
0.500 0.500 0.500

=====

Fermi-level density of states of number 1 (Nb5Sb4)?
4.1 states/eV/cell